(1)
DFT (PBE) results for a geometry-optimized Rb2CoPdBr6 structure.

Geometry as CIF:
```
data_Rb2CoPdBr6
_chemical_formula_sum 'Rb8 Co4 Pd4 Br24'
_space_group_name_H-M_alt 'F m -3 m'
_space_group_IT_number 225
_space_group_name_Hall '-F 4 2 3'
_cell_length_a 10.4506
_cell_length_b 10.4506
_cell_length_c 10.4506
_cell_angle_alpha 90.00
_cell_angle_beta 90.00
_cell_angle_gamma 90.00
loop_
_atom_site_label
_atom_site_type_symbol
_atom_site_fract_x
_atom_site_fract_y
_atom_site_fract_z
Rb1 Rb 0.2500 0.2500 0.2500
Co1 Co 0.0000 0.0000 0.0000
Pd1 Pd 0.0000 0.0000 0.5000
Br1 Br 0.0000 0.0000 0.2446
```

The total DFT energy (no corrections) comes out at -130.0 eV for the cell shown. The calculation puts the volume at 1141.36 Å³/cell.

(2)
DFT (PBE) results for a geometry-optimized Rb2Co2PdBr8 structure.

Geometry as CIF:
```
data_Rb2Co2PdBr8
_chemical_formula_sum 'Rb4 Co4 Pd2 Br16'
_space_group_name_H-M_alt 'C 1 2/m 1'
_space_group_IT_number 12
_space_group_name_Hall '-C 2y'
_cell_length_a 12.1314
_cell_length_b 7.7670
_cell_length_c 9.2703
_cell_angle_alpha 90.00
_cell_angle_beta 106.32
_cell_angle_gamma 90.00
loop_
_atom_site_label
_atom_site_type_symbol
_atom_site_fract_x
_atom_site_fract_y
_atom_site_fract_z
Rb1 Rb 0.1049 0.0000 0.3160
Co1 Co 0.1172 0.5000 0.9000
Pd1 Pd 0.0000 0.5000 0.5000
Br1 Br 0.0944 0.5000 0.1696
Br2 Br 0.1176 0.2826 0.6691
Br3 Br 0.1784 0.0000 0.0000
```

The total DFT energy (no corrections) comes out at -87.1 eV for the cell shown. The calculation puts the volume at 838.30 Å³/cell.

(3)
DFT (PBE) results for a geometry-optimized Tl2CoPdBr6 structure.

Geometry as CIF:
```
data_Tl2CoPdBr6
_chemical_formula_sum 'Tl8 Co4 Pd4 Br24'
_space_group_name_H-M_alt 'F m -3 m'
_space_group_IT_number 225
_space_group_name_Hall '-F 4 2 3'
_cell_length_a 10.3649
_cell_length_b 10.3649
_cell_length_c 10.3649
_cell_angle_alpha 90.00
_cell_angle_beta 90.00
_cell_angle_gamma 90.00
loop_
_atom_site_label
_atom_site_type_symbol
_atom_site_fract_x
_atom_site_fract_y
_atom_site_fract_z
Tl1 Tl 0.2500 0.2500 0.2500
Co1 Co 0.0000 0.0000 0.0000
Pd1 Pd 0.0000 0.0000 0.5000
Br1 Br 0.0000 0.0000 0.2444
```

The total DFT energy (no corrections) comes out at -126.0 eV for the cell shown. The calculation puts the volume at 1113.53 Å³/cell.

(4)
DFT (PBE) results for a geometry-optimized PrCo4Br structure.

Geometry as CIF:
```
data_PrCo4Br
_chemical_formula_sum 'Pr2 Co8 Br2'
_space_group_name_H-M_alt 'C m m m'
_space_group_IT_number 65
_space_group_name_Hall '-C 2 2'
_cell_length_a 6.6735
_cell_length_b 7.5762
_cell_length_c 5.1094
_cell_angle_alpha 90.00
_cell_angle_beta 90.00
_cell_angle_gamma 90.00
loop_
_atom_site_label
_atom_site_type_symbol
_atom_site_fract_x
_atom_site_fract_y
_atom_site_fract_z
Pr1 Pr 0.0000 0.0000 0.0000
Co1 Co 0.0000 0.3577 0.0000
Co2 Co 0.1584 0.0000 0.5000
Br1 Br 0.0000 0.5000 0.5000
```

The total DFT energy (no corrections) comes out at -55.5 eV for the cell shown. The calculation puts the volume at 258.33 Å³/cell.